Y2SnS4 after structural relaxation. Source: the Alexandria database, functional PBE.

POSCAR file:
```
Y2SnS4
1.0
15.055 0.000 0.000
0.000 4.006 0.000
-2.990 0.000 6.248
Y Sn S
4 2 8
Cartesian
2.777 0.000 1.374 Y
1.761 2.003 4.874 Y
10.304 2.003 1.374 Y
9.289 0.000 4.874 Y
-1.495 2.003 3.124 Sn
6.033 0.000 3.124 Sn
-0.816 2.003 5.940 S
0.691 0.000 3.141 S
3.847 2.003 3.107 S
5.354 0.000 0.308 S
6.712 0.000 5.940 S
8.218 2.003 3.141 S
11.375 0.000 3.107 S
12.881 2.003 0.308 S
```

Calculated values
SG   C2/m
M_tot   0.0 μB per formula unit
E_form (uncorrected)   -1.565 eV per atom
E   -6.342 eV per atom
Excess energy over the best structure of this formula in the dataset   0.230 kcal/mol of atoms